Li3W8O24 | GGA+U | optimized geometry

Computed properties:
crystal system = cubic
calculated total energy = -252.86 eV for the cell shown
distance to the lowest polymorph of the same formula = 15 meV/atom
SG = Pm-3
DOS at the Fermi energy = 8.5 states/eV/f.u.

```
Li3W8O24
1.0
7.581 0.000 0.000
0.000 7.581 0.000
0.000 0.000 7.581
O W Li
24 8 3
Cartesian
5.295 3.790 6.011 O
5.388 5.977 0.000 O
6.011 5.295 3.790 O
2.286 3.790 6.011 O
2.193 5.977 0.000 O
0.000 5.388 1.603 O
0.000 5.388 5.977 O
0.000 2.193 1.603 O
2.193 1.603 0.000 O
1.603 0.000 5.388 O
1.570 5.295 3.790 O
5.977 0.000 2.193 O
3.790 6.011 5.295 O
1.570 2.286 3.790 O
1.603 0.000 2.193 O
3.790 1.570 5.295 O
5.388 1.603 0.000 O
3.790 1.570 2.286 O
6.011 2.286 3.790 O
5.295 3.790 1.570 O
2.286 3.790 1.570 O
0.000 2.193 5.977 O
5.977 0.000 5.388 O
3.790 6.011 2.286 O
5.689 1.892 5.689 W
1.892 1.892 5.689 W
5.689 1.892 1.892 W
5.689 5.689 5.689 W
1.892 5.689 1.892 W
1.892 1.892 1.892 W
1.892 5.689 5.689 W
5.689 5.689 1.892 W
3.790 0.000 3.790 Li
0.000 3.790 3.790 Li
3.790 3.790 0.000 Li
```